Record 1
The following is a DFT calculation (PBE-GGA) of a geometry-optimized Sc2SbIr structure.

abc: 3.183 3.183 8.021
angles: 90.00 90.00 90.00
Atoms (fractional coordinates):
Sc 0.000 0.000 0.042
Sc 0.000 0.000 0.458
Sb 0.500 0.500 0.750
Ir 0.500 0.500 0.250

Calculated values
Total moment: 0.0 Bohr magnetons per cell
ΔE_f (raw): -17.436 kcal/mol of atoms



Record 2
The following is a DFT calculation (PBE-GGA) of a geometry-optimized Sc2SbIr structure.

abc: 7.551 7.551 6.166
angles: 52.24 52.24 90.00
Atoms (fractional coordinates):
Sc 0.875 0.921 0.750
Sc 0.671 0.125 0.250
Sc 0.375 0.329 0.750
Sc 0.079 0.625 0.250
Sb 0.250 0.750 0.500
Sb 0.500 0.500 0.000
Ir 0.750 0.250 0.500
Ir 0.000 0.000 0.000

Calculated values
Total moment: 0.0 Bohr magnetons per cell
ΔE_f (raw): -10.877 kcal/mol of atoms